1.
Density functional theory data (PBE-GGA) for a relaxed structure of Pr4TeSe3.

abc: 4.289 4.289 28.957
angles: 90.00 90.00 120.00
Sites, in units of the cell vectors:
Pr 0.667 0.333 0.938
Pr 0.333 0.667 0.062
Pr 0.333 0.667 0.438
Pr 0.667 0.333 0.562
Pr 0.000 0.000 0.823
Pr 0.000 0.000 0.177
Pr 0.000 0.000 0.323
Pr 0.000 0.000 0.677
Te 0.667 0.333 0.750
Te 0.333 0.667 0.250
Se 0.000 0.000 0.000
Se 0.000 0.000 0.500
Se 0.333 0.667 0.880
Se 0.667 0.333 0.120
Se 0.667 0.333 0.380
Se 0.333 0.667 0.620

Calculated values
SG: P6_3/mmc, No. 194
Distance to the lowest polymorph of the same formula: 0 meV/atom
Uncorrected energy: -5.85 eV/atom
V: 28.8 A^3/atom
E_form (uncorrected): -1.756 eV/atom
Magnetization: 0.00 μB/f.u.


2.
Density functional theory data (PBE-GGA) for a relaxed structure of InBiIr3.

abc: 4.982 4.982 4.982
angles: 90.00 90.00 90.00
Each line ends with the local moment (μB).
Sites, in units of the cell vectors:
Ir 0.000 0.500 0.000  0.37
Ir 0.000 0.000 0.500  0.11
Ir 0.500 0.000 0.000  0.44
Bi 0.000 0.000 0.000  0.01
In 0.500 0.500 0.500  0.01

Calculated values
SG: Pm-3m, No. 221
Distance to the lowest polymorph of the same formula: 172 meV/atom
Uncorrected energy: -4.82 eV/atom
V: 24.7 A^3/atom
Magnetization: 0.99 μB/f.u.


3.
Density functional theory data (PBE-GGA) for a relaxed structure of HfPaCS.

abc: 3.435 3.435 6.870
angles: 90.00 104.49 120.00
Sites, in units of the cell vectors:
Hf 0.107 0.952 0.074
Pa 0.498 0.147 0.661
C 0.321 0.558 0.895
S 0.951 0.374 0.340

Calculated values
SG: R3m, No. 160
Uncorrected energy: -9.34 eV/atom
V: 16.8 A^3/atom
E_form (uncorrected): -1.141 eV/atom
Magnetization: 0.03 μB/f.u.


4.
Density functional theory data (PBE-GGA) for a relaxed structure of ThBiSe4.

abc: 7.250 7.099 7.090
angles: 90.00 93.68 90.00
Each line ends with the local moment (μB).
Sites, in units of the cell vectors:
Th 0.000 0.000 0.000  0.02
Th 0.500 0.500 0.000  0.02
Bi 0.500 0.000 0.500  0.01
Bi 0.000 0.500 0.500  0.01
Se 0.852 0.648 0.136  0.04
Se 0.648 0.148 0.864  0.04
Se 0.371 0.379 0.374  0.20
Se 0.129 0.879 0.626  0.20
Se 0.148 0.352 0.864  0.04
Se 0.352 0.852 0.136  0.04
Se 0.629 0.621 0.626  0.20
Se 0.871 0.121 0.374  0.20

Calculated values
SG: P2_1/c, No. 14
Uncorrected energy: -5.01 eV/atom
V: 30.3 A^3/atom
E_form (uncorrected): -0.801 eV/atom
Magnetization: 0.79 μB/f.u.


5.
Density functional theory data (PBE-GGA) for a relaxed structure of NdSm4Y2.

abc: 6.256 6.631 11.795
angles: 90.00 106.31 90.00
Sites, in units of the cell vectors:
Nd 0.168 0.750 0.156
Nd 0.832 0.250 0.844
Sm 0.651 0.499 0.287
Sm 0.015 0.750 0.853
Sm 0.985 0.250 0.147
Sm 0.651 0.001 0.287
Sm 0.857 0.250 0.558
Sm 0.349 0.999 0.713
Sm 0.349 0.501 0.713
Sm 0.143 0.750 0.442
Y 0.606 0.750 0.999
Y 0.394 0.250 0.001
Y 0.296 0.250 0.436
Y 0.704 0.750 0.564

Calculated values
SG: P2_1/m, No. 11
Distance to the lowest polymorph of the same formula: 34 meV/atom
Uncorrected energy: -5.11 eV/atom
V: 33.5 A^3/atom
Magnetization: 0.00 μB/f.u.


6.
Density functional theory data (PBE-GGA) for a relaxed structure of Rb2BeRh.

abc: 12.657 12.657 9.192
angles: 46.49 46.49 90.00
Sites, in units of the cell vectors:
Be 0.500 0.500 0.000
Be 0.250 0.750 0.500
Rh 0.000 0.000 0.000
Rh 0.750 0.250 0.500
Rb 0.829 0.125 0.250
Rb 0.921 0.625 0.250
Rb 0.375 0.171 0.750
Rb 0.875 0.079 0.750

Calculated values
SG: I-42d, No. 122
Uncorrected energy: -2.77 eV/atom
V: 42.0 A^3/atom
Magnetization: 0.00 μB/f.u.


7.
Density functional theory data (PBE-GGA) for a relaxed structure of NaCaAs2Se.

abc: 5.024 5.024 5.209
angles: 90.00 90.00 90.00
Sites, in units of the cell vectors:
Na 0.000 0.000 0.000
As 0.000 0.500 0.000
As 0.500 0.000 0.000
Ca 0.500 0.500 0.500
Se 0.000 0.000 0.500

Calculated values
SG: P4/mmm, No. 123
Distance to the lowest polymorph of the same formula: 29 meV/atom
Uncorrected energy: -3.09 eV/atom
V: 26.3 A^3/atom
E_form (uncorrected): 0.130 eV/atom
Magnetization: 0.00 μB/f.u.


8.
Density functional theory data (PBE-GGA) for a relaxed structure of Rb2UCdS4.

abc: 7.193 7.193 7.193
angles: 95.59 116.83 116.83
Each line ends with the local moment (μB).
Sites, in units of the cell vectors:
Rb 0.500 0.750 0.250  0.00
Rb 0.000 0.000 0.000  0.00
U 0.500 0.250 0.750  2.00
Cd 0.000 0.500 0.500  0.00
S 0.580 0.372 0.455  -0.04
S 0.083 0.207 0.628  -0.04
S 0.917 0.545 0.125  -0.04
S 0.420 0.875 0.793  -0.04

Calculated values
SG: I-4, No. 82
Uncorrected energy: -4.84 eV/atom
V: 34.3 A^3/atom
E_form (uncorrected): -1.008 eV/atom
Magnetization: 2.00 μB/f.u.


9.
Density functional theory data (PBE-GGA) for a relaxed structure of NaTe3Br.

abc: 5.676 5.676 5.676
angles: 90.00 90.00 90.00
Sites, in units of the cell vectors:
Na 0.500 0.500 0.500
Te 0.000 0.500 0.000
Te 0.000 0.000 0.500
Te 0.500 0.000 0.000
Br 0.000 0.000 0.000

Calculated values
SG: Pm-3m, No. 221
Distance to the lowest polymorph of the same formula: 0 meV/atom
Uncorrected energy: -2.19 eV/atom
V: 36.6 A^3/atom
E_form (uncorrected): 0.291 eV/atom
Magnetization: 0.00 μB/f.u.


10.
Density functional theory data (PBE-GGA) for a relaxed structure of CuSnN.

abc: 3.290 3.304 5.303
angles: 108.00 89.78 119.91
Sites, in units of the cell vectors:
Cu 0.542 0.461 0.905
Sn 0.018 0.412 0.316
N 0.416 0.210 0.519

Calculated values
SG: P1, No. 1
Distance to the lowest polymorph of the same formula: 65 meV/atom
Uncorrected energy: -5.17 eV/atom
V: 15.6 A^3/atom
E_form (uncorrected): 0.301 eV/atom
Magnetization: 0.00 μB/f.u.


11.
Density functional theory data (PBE-GGA) for a relaxed structure of TmZnSn.

abc: 4.639 4.639 4.639
angles: 60.00 60.00 60.00
Sites, in units of the cell vectors:
Zn 0.250 0.250 0.250
Tm 0.500 0.500 0.500
Sn 0.000 0.000 0.000

Calculated values
SG: F-43m, No. 216
Uncorrected energy: -3.60 eV/atom
V: 23.5 A^3/atom
Magnetization: 0.00 μB/f.u.


12.
Density functional theory data (PBE-GGA) for a relaxed structure of PH6Br3.

abc: 5.469 4.872 11.709
angles: 90.00 70.63 90.00
Sites, in units of the cell vectors:
P 0.500 0.500 0.500
P 0.000 0.000 0.000
H 0.796 0.212 0.986
H 0.533 0.304 0.604
H 0.734 0.387 0.378
H 0.266 0.613 0.622
H 0.467 0.696 0.396
H 0.204 0.788 0.014
H 0.296 0.288 0.486
H 0.033 0.196 0.104
H 0.234 0.113 0.878
H 0.766 0.887 0.122
H 0.967 0.804 0.896
H 0.704 0.712 0.514
Br 0.503 0.096 0.740
Br 0.500 0.500 0.000
Br 0.497 0.904 0.260
Br 0.003 0.404 0.240
Br 0.000 0.000 0.500
Br 0.997 0.596 0.760

Calculated values
SG: P2_1/c, No. 14
Uncorrected energy: -2.87 eV/atom
V: 14.7 A^3/atom
Magnetization: 0.00 μB/f.u.


13.
Density functional theory data (PBE-GGA) for a relaxed structure of BaH6Rh2.

abc: 5.035 5.035 4.891
angles: 90.00 90.00 120.00
Sites, in units of the cell vectors:
Ba 0.000 0.000 0.000
H 0.635 0.000 0.357
H 0.365 0.365 0.357
H 0.000 0.635 0.357
H 0.635 0.635 0.643
H 0.000 0.365 0.643
H 0.365 0.000 0.643
Rh 0.333 0.667 0.500
Rh 0.667 0.333 0.500

Calculated values
SG: P-31m, No. 162
Uncorrected energy: -4.35 eV/atom
V: 11.9 A^3/atom
Magnetization: 0.00 μB/f.u.


14.
Density functional theory data (PBE-GGA) for a relaxed structure of La2MgZn4Ga3.

abc: 4.343 4.343 10.899
angles: 90.00 90.00 90.00
Sites, in units of the cell vectors:
La 0.500 0.000 0.236
La 0.000 0.500 0.764
Mg 0.500 0.500 0.500
Zn 0.500 0.500 0.000
Zn 0.000 0.000 0.000
Zn 0.500 0.000 0.642
Zn 0.000 0.500 0.358
Ga 0.000 0.000 0.500
Ga 0.500 0.000 0.869
Ga 0.000 0.500 0.131

Calculated values
SG: P-4m2, No. 115
Uncorrected energy: -3.02 eV/atom
V: 20.6 A^3/atom
Magnetization: 0.00 μB/f.u.


15.
Density functional theory data (PBE-GGA) for a relaxed structure of V2CrHPd.

abc: 3.919 3.919 3.657
angles: 90.00 90.00 90.00
Each line ends with the local moment (μB).
Sites, in units of the cell vectors:
Cr 0.000 0.000 0.500  1.10
H 0.000 0.000 0.000  0.00
Pd 0.500 0.500 0.500  -0.02
V 0.000 0.500 0.000  -0.50
V 0.500 0.000 0.000  -0.50

Calculated values
SG: P4/mmm, No. 123
Uncorrected energy: -7.31 eV/atom
V: 11.2 A^3/atom
Magnetization: 0.03 μB/f.u.


16.
Density functional theory data (PBE-GGA) for a relaxed structure of CuC.

abc: 5.897 5.897 5.897
angles: 90.00 90.00 90.00
Sites, in units of the cell vectors:
Cu 0.278 0.278 0.278
Cu 0.278 0.722 0.722
Cu 0.722 0.278 0.722
Cu 0.722 0.722 0.278
Cu 0.778 0.778 0.778
Cu 0.778 0.222 0.222
Cu 0.222 0.778 0.222
Cu 0.222 0.222 0.778
C 0.096 0.096 0.096
C 0.096 0.904 0.904
C 0.904 0.096 0.904
C 0.904 0.904 0.096
C 0.596 0.596 0.596
C 0.596 0.404 0.404
C 0.404 0.596 0.404
C 0.404 0.404 0.596

Calculated values
SG: I-43m, No. 217
Distance to the lowest polymorph of the same formula: 992 meV/atom
Uncorrected energy: -5.45 eV/atom
V: 12.8 A^3/atom
Magnetization: 0.00 μB/f.u.


17.
Density functional theory data (PBE-GGA) for a relaxed structure of Pm4Pr2SmY2.

abc: 3.682 9.717 9.780
angles: 115.23 90.00 100.92
Sites, in units of the cell vectors:
Pm 0.814 0.628 0.666
Pm 0.186 0.372 0.334
Pm 0.519 0.037 0.335
Pm 0.481 0.963 0.665
Pr 0.334 0.668 0.000
Pr 0.666 0.332 0.000
Sm 0.000 0.000 0.000
Y 0.853 0.705 0.335
Y 0.147 0.295 0.665

Calculated values
SG: C2/m, No. 12
Uncorrected energy: -5.13 eV/atom
V: 34.4 A^3/atom
Magnetization: 0.00 μB/f.u.


18.
Density functional theory data (PBE-GGA) for a relaxed structure of CaDy2Y.

abc: 3.598 3.598 12.199
angles: 81.52 81.52 60.00
Sites, in units of the cell vectors:
Ca 0.500 0.500 0.499
Dy 0.079 0.079 0.764
Dy 0.255 0.255 0.236
Y 0.666 0.666 0.001

Calculated values
SG: R3m, No. 160
Distance to the lowest polymorph of the same formula: 0 meV/atom
Uncorrected energy: -4.35 eV/atom
V: 33.7 A^3/atom
Magnetization: 0.00 μB/f.u.


19.
Density functional theory data (PBE-GGA) for a relaxed structure of Ag6Se.

abc: 6.469 6.469 6.469
angles: 109.47 109.47 109.47
Each line ends with the local moment (μB).
Sites, in units of the cell vectors:
Ag 0.250 0.750 0.500  0.02
Ag 0.500 0.750 0.250  0.02
Ag 0.250 0.500 0.750  0.02
Ag 0.750 0.250 0.500  0.02
Ag 0.500 0.250 0.750  0.02
Ag 0.750 0.500 0.250  0.02
Se 0.000 0.000 0.000  0.63

Calculated values
SG: Im-3m, No. 229
Uncorrected energy: -2.09 eV/atom
V: 29.8 A^3/atom
E_form (uncorrected): 0.854 eV/atom
Magnetization: 1.16 μB/f.u.


20.
Density functional theory data (PBE-GGA) for a relaxed structure of NaRuRh.

abc: 2.689 7.768 5.719
angles: 111.37 103.57 90.21
Sites, in units of the cell vectors:
Ru 0.060 0.806 0.604
Ru 0.367 0.801 0.216
Rh 0.148 0.567 0.784
Rh 0.771 0.005 0.021
Na 0.554 0.182 0.607
Na 0.374 0.412 0.227

Calculated values
SG: P1, No. 1
Distance to the lowest polymorph of the same formula: 58 meV/atom
Uncorrected energy: -5.63 eV/atom
V: 17.9 A^3/atom
Magnetization: 0.00 μB/f.u.


21.
Density functional theory data (PBE-GGA) for a relaxed structure of LaMn2Tc.

abc: 4.716 4.716 3.084
angles: 90.00 90.00 89.89
Each line ends with the local moment (μB).
Sites, in units of the cell vectors:
La 0.000 0.500 0.500  -0.21
Mn 0.000 0.000 0.000  2.80
Mn 0.500 0.500 0.000  2.80
Tc 0.500 0.000 0.500  -0.62

Calculated values
SG: Cmmm, No. 65
Distance to the lowest polymorph of the same formula: 378 meV/atom
Uncorrected energy: -7.84 eV/atom
V: 17.1 A^3/atom
Magnetization: 4.75 μB/f.u.


22.
Density functional theory data (PBE-GGA) for a relaxed structure of MgCdAu2.

abc: 8.288 4.069 9.759
angles: 90.00 115.51 90.00
Sites, in units of the cell vectors:
Mg 0.812 0.000 0.372
Mg 0.188 0.000 0.628
Mg 0.812 0.500 0.872
Mg 0.188 0.500 0.128
Cd 0.689 0.000 0.621
Cd 0.311 0.000 0.379
Cd 0.689 0.500 0.121
Cd 0.311 0.500 0.879
Au 0.566 0.000 0.871
Au 0.434 0.000 0.129
Au 0.566 0.500 0.371
Au 0.434 0.500 0.629
Au 0.943 0.000 0.121
Au 0.057 0.000 0.879
Au 0.943 0.500 0.621
Au 0.057 0.500 0.379

Calculated values
SG: C2/m, No. 12
Uncorrected energy: -2.64 eV/atom
V: 18.6 A^3/atom
Magnetization: 0.00 μB/f.u.


23.
Density functional theory data (PBE-GGA) for a relaxed structure of Na2AlP4O14.

abc: 4.994 7.602 9.228
angles: 63.27 76.77 78.89
Each line ends with the local moment (μB).
Sites, in units of the cell vectors:
Na 0.149 0.810 0.683  0.00
Na 0.851 0.190 0.317  0.00
Al 0.000 0.000 0.000  0.00
P 0.601 0.082 0.747  -0.01
P 0.399 0.918 0.253  -0.01
P 0.729 0.428 0.776  -0.02
P 0.271 0.572 0.224  -0.02
O 0.298 0.052 0.820  0.13
O 0.702 0.948 0.180  0.13
O 0.866 0.273 0.919  0.09
O 0.134 0.727 0.081  0.09
O 0.793 0.958 0.875  0.10
O 0.207 0.042 0.125  0.10
O 0.629 0.315 0.689  0.03
O 0.371 0.685 0.311  0.03
O 0.691 0.041 0.597  0.16
O 0.309 0.959 0.403  0.16
O 0.917 0.583 0.647  0.42
O 0.083 0.417 0.353  0.42
O 0.481 0.559 0.818  0.39
O 0.519 0.441 0.182  0.39

Calculated values
SG: P-1, No. 2
Uncorrected energy: -6.67 eV/atom
V: 14.4 A^3/atom
E_form (uncorrected): -2.025 eV/atom
Magnetization: 3.07 μB/f.u.